Entry from OQMD via LeMat-Bulk: a relaxed structure of BaMgSbIr (PBE-GGA).

Calculated values
ΔE to the lowest computed polymorph (meV/atom): 45.0
Magnetic moment (Bohr magnetons per cell): 0.0

Cell: 7.2065 7.2065 7.2065 Å, 90.00 90.00 90.00°
Sites, in units of the cell vectors:
Ba 0.0000 0.0000 0.0000
Ba 0.0000 0.5000 0.5000
Ba 0.5000 0.0000 0.5000
Ba 0.5000 0.5000 0.0000
Mg 0.2500 0.2500 0.2500
Mg 0.2500 0.7500 0.7500
Mg 0.7500 0.2500 0.7500
Mg 0.7500 0.7500 0.2500
Sb 0.0000 0.0000 0.5000
Sb 0.0000 0.5000 0.0000
Sb 0.5000 0.0000 0.0000
Sb 0.5000 0.5000 0.5000
Ir 0.2500 0.2500 0.7500
Ir 0.2500 0.7500 0.2500
Ir 0.7500 0.2500 0.2500
Ir 0.7500 0.7500 0.7500

***

Entry from OQMD via LeMat-Bulk: a relaxed structure of Na4CuGe2Au (PBE-GGA).

Calculated values
Calculated total energy (eV per cell): -21.79

Cell: 4.7501 4.7501 6.7681 Å, 90.00 90.00 90.00°
Sites, in units of the cell vectors:
Na 0.0000 0.0000 0.0000
Na 0.0000 0.5000 0.7438
Na 0.5000 0.0000 0.2562
Na 0.5000 0.5000 0.5000
Cu 0.0000 0.0000 0.5000
Ge 0.0000 0.5000 0.2604
Ge 0.5000 0.0000 0.7396
Au 0.5000 0.5000 0.0000

***

Entry from OQMD via LeMat-Bulk: a relaxed structure of YTm3Sc2Bi2Os (PBE-GGA).

Calculated values
Calculated total energy (eV per cell): -56.92
Magnetic moment (Bohr magnetons per cell): 0.0

Cell: 4.1958 8.0478 8.0478 Å, 120.00 90.00 90.00°
Sites, in units of the cell vectors:
Y 0.0000 0.0000 0.0000
Tm 0.5000 0.1524 0.7647
Tm 0.5000 0.3889 0.3889
Tm 0.5000 0.7647 0.1524
Sc 0.0000 0.5392 0.7669
Sc 0.0000 0.7669 0.5392
Bi 0.0000 0.1018 0.4411
Bi 0.0000 0.4411 0.1018
Os 0.5000 0.7530 0.7530

***

Entry from OQMD via LeMat-Bulk: a relaxed structure of NbIBr3Cl (PBE-GGA).

Calculated values
ΔE to the lowest computed polymorph (meV/atom): 0.0
Magnetic moment (Bohr magnetons per cell): 0.0

Cell: 6.8722 7.3862 10.3155 Å, 108.57 92.54 113.47°
Sites, in units of the cell vectors:
Nb 0.1087 0.2271 0.2270
Nb 0.8913 0.7729 0.7730
I 0.2450 0.1870 0.9547
I 0.7550 0.8130 0.0453
Br 0.0698 0.8140 0.5771
Br 0.3063 0.0170 0.2536
Br 0.4313 0.5664 0.3253
Br 0.5687 0.4336 0.6747
Br 0.6937 0.9830 0.7464
Br 0.9302 0.1860 0.4229
Cl 0.1024 0.6257 0.8420
Cl 0.8976 0.3743 0.1580

***

Entry from OQMD via LeMat-Bulk: a relaxed structure of Tb2Al2Cu3Pt (PBE-GGA).

Calculated values
Calculated total energy (eV per cell): -38.66
Magnetic moment (Bohr magnetons per cell): 0.0

Cell: 4.3329 4.3329 8.9165 Å, 90.00 90.00 120.00°
Sites, in units of the cell vectors:
Tb 0.0000 0.0000 0.0000
Tb 0.3333 0.6667 0.4958
Al 0.6667 0.3333 0.2407
Al 0.6667 0.3333 0.7374
Cu 0.0000 0.0000 0.3175
Cu 0.3333 0.6667 0.1701
Cu 0.3333 0.6667 0.8265
Pt 0.0000 0.0000 0.6762

***

Entry from OQMD via LeMat-Bulk: a relaxed structure of LaAlNiPd (PBE-GGA).

Calculated values
ΔE to the lowest computed polymorph (meV/atom): 9.7
Magnetic moment (Bohr magnetons per cell): 0.0

Cell: 4.3267 4.3267 9.7649 Å, 90.00 90.00 120.00°
Sites, in units of the cell vectors:
La 0.3333 0.6667 0.0000
La 0.6667 0.3333 0.5000
Al 0.0000 0.0000 0.2400
Al 0.0000 0.0000 0.7400
Ni 0.3333 0.6667 0.6912
Ni 0.6667 0.3333 0.1912
Pd 0.3333 0.6667 0.3088
Pd 0.6667 0.3333 0.8088

***

Entry from OQMD via LeMat-Bulk: a relaxed structure of InCuGePd (PBE-GGA).

Calculated values
ΔE to the lowest computed polymorph (meV/atom): 0.0

Cell: 6.4764 6.4764 6.4764 Å, 90.00 90.00 90.00°
Sites, in units of the cell vectors:
In 0.0000 0.0000 0.0000
In 0.0000 0.5000 0.5000
In 0.5000 0.0000 0.5000
In 0.5000 0.5000 0.0000
Cu 0.2500 0.2500 0.2500
Cu 0.2500 0.7500 0.7500
Cu 0.7500 0.2500 0.7500
Cu 0.7500 0.7500 0.2500
Ge 0.0000 0.0000 0.5000
Ge 0.0000 0.5000 0.0000
Ge 0.5000 0.0000 0.0000
Ge 0.5000 0.5000 0.5000
Pd 0.2500 0.2500 0.7500
Pd 0.2500 0.7500 0.2500
Pd 0.7500 0.2500 0.2500
Pd 0.7500 0.7500 0.7500

***

Entry from OQMD via LeMat-Bulk: a relaxed structure of DyTmSi2BMo2 (PBE-GGA).

Calculated values
Calculated total energy (eV per cell): -103.85
Magnetic moment (Bohr magnetons per cell): 0.0

Cell: 11.0363 3.9262 7.0407 Å, 90.00 124.51 90.00°
Sites, in units of the cell vectors:
Dy 0.0000 0.0000 0.0000
Dy 0.5000 0.5000 0.0000
Tm 0.3487 0.5000 0.3972
Tm 0.8487 0.0000 0.3972
Si 0.0544 0.5000 0.3591
Si 0.2938 0.0000 0.0389
Si 0.5544 0.0000 0.3591
Si 0.7938 0.5000 0.0389
B 0.4230 0.0000 0.6947
B 0.9230 0.5000 0.6947
Mo 0.1393 0.5000 0.7854
Mo 0.2082 0.0000 0.6103
Mo 0.6393 0.0000 0.7854
Mo 0.7082 0.5000 0.6103